The following is a DFT calculation (PBE) of an optimized crystal structure of SbTeWI2.

Computed properties:
uncorrected formation energy	1.4419	eV/atom

Geometry as CIF:
```
data_SbTeWI2
_cell_length_a 5.8325
_cell_length_b 5.8325
_cell_length_c 6.0264
_cell_angle_alpha 90.00
_cell_angle_beta 90.00
_cell_angle_gamma 90.00
_symmetry_space_group_name_H-M 'P 4/m m m'
_symmetry_Int_Tables_number 123
_symmetry_space_group_name_Hall '-P 4 2'
loop_
_atom_site_label
_atom_site_fract_x
_atom_site_fract_y
_atom_site_fract_z
Sb1 0.0000 0.0000 0.0000
Te1 0.0000 0.0000 0.5000
W1 0.5000 0.5000 0.5000
I1 0.0000 0.5000 0.0000
```

=====

The following is a DFT calculation (PBE) of an optimized crystal structure of YAlF2.

Computed properties:
uncorrected formation energy	-1.9298	eV/atom

Geometry as CIF:
```
data_YAlF2
_cell_length_a 4.2594
_cell_length_b 4.2594
_cell_length_c 13.2516
_cell_angle_alpha 90.00
_cell_angle_beta 90.00
_cell_angle_gamma 120.00
_symmetry_space_group_name_H-M 'R -3 m'
_symmetry_Int_Tables_number 166
_symmetry_space_group_name_Hall '-R 3 2"'
loop_
_atom_site_label
_atom_site_fract_x
_atom_site_fract_y
_atom_site_fract_z
Y1 0.0000 0.0000 0.0000
Al1 0.0000 0.0000 0.5000
F1 0.0000 0.0000 0.1668
```

=====

The following is a DFT calculation (PBE) of an optimized crystal structure of RbRuS2.

Computed properties:
uncorrected formation energy	-0.6666	eV/atom

Geometry as CIF:
```
data_RbRuS2
_cell_length_a 7.2509
_cell_length_b 11.7774
_cell_length_c 5.5079
_cell_angle_alpha 90.00
_cell_angle_beta 112.26
_cell_angle_gamma 90.00
_symmetry_space_group_name_H-M 'C 1 2/c 1'
_symmetry_Int_Tables_number 15
_symmetry_space_group_name_Hall '-C 2yc'
loop_
_atom_site_label
_atom_site_fract_x
_atom_site_fract_y
_atom_site_fract_z
Rb1 0.0000 0.1460 0.2500
Ru1 0.0000 0.4994 0.2500
S1 0.1921 0.3933 0.0961
```

=====

The following is a DFT calculation (PBE) of an optimized crystal structure of CaCe2Tc.

Computed properties:
E_form	0.12	eV per atom

Geometry as CIF:
```
data_CaCe2Tc
_cell_length_a 3.9671
_cell_length_b 3.9671
_cell_length_c 27.7467
_cell_angle_alpha 90.00
_cell_angle_beta 90.00
_cell_angle_gamma 120.00
_symmetry_space_group_name_H-M 'R -3 m'
_symmetry_Int_Tables_number 166
_symmetry_space_group_name_Hall '-R 3 2"'
loop_
_atom_site_label
_atom_site_fract_x
_atom_site_fract_y
_atom_site_fract_z
Ca1 0.0000 0.0000 0.0000
Ce1 0.0000 0.0000 0.2208
Tc1 0.0000 0.0000 0.5000
```

=====

The following is a DFT calculation (PBE) of an optimized crystal structure of DyTm4Zr.

Computed properties:
E_form	0.05	eV per atom

Geometry as CIF:
```
data_DyTm4Zr
_cell_length_a 3.4349
_cell_length_b 6.9375
_cell_length_c 7.6563
_cell_angle_alpha 103.08
_cell_angle_beta 102.92
_cell_angle_gamma 90.14
_symmetry_space_group_name_H-M 'P -1'
_symmetry_Int_Tables_number 2
_symmetry_space_group_name_Hall '-P 1'
loop_
_atom_site_label
_atom_site_fract_x
_atom_site_fract_y
_atom_site_fract_z
Dy1 0.0000 0.0000 0.0000
Tm1 0.3379 0.1790 0.6759
Tm2 0.3396 0.6601 0.6791
Zr1 0.0000 0.5000 0.0000
```

=====

The following is a DFT calculation (PBE) of an optimized crystal structure of HfSbTe.

Computed properties:
uncorrected formation energy	-0.4301	eV/atom

Geometry as CIF:
```
data_HfSbTe
_cell_length_a 3.7195
_cell_length_b 6.8771
_cell_length_c 7.4538
_cell_angle_alpha 112.10
_cell_angle_beta 104.39
_cell_angle_gamma 90.31
_symmetry_space_group_name_H-M 'P -1'
_symmetry_Int_Tables_number 2
_symmetry_space_group_name_Hall '-P 1'
loop_
_atom_site_label
_atom_site_fract_x
_atom_site_fract_y
_atom_site_fract_z
Hf1 0.2490 0.2490 0.4925
Sb1 0.0984 0.4652 0.2103
Te1 0.3861 0.0425 0.7722
```

=====

The following is a DFT calculation (PBE) of an optimized crystal structure of AcEr2Sb.

Computed properties:
uncorrected formation energy	-0.3948	eV/atom

Geometry as CIF:
```
data_AcEr2Sb
_cell_length_a 4.9622
_cell_length_b 4.9622
_cell_length_c 4.9096
_cell_angle_alpha 90.00
_cell_angle_beta 90.00
_cell_angle_gamma 90.00
_symmetry_space_group_name_H-M 'P 4/m m m'
_symmetry_Int_Tables_number 123
_symmetry_space_group_name_Hall '-P 4 2'
loop_
_atom_site_label
_atom_site_fract_x
_atom_site_fract_y
_atom_site_fract_z
Ac1 0.0000 0.0000 0.0000
Er1 0.0000 0.5000 0.5000
Sb1 0.5000 0.5000 0.0000
```

=====

The following is a DFT calculation (PBE) of an optimized crystal structure of PSeBrO2.

Computed properties:
uncorrected formation energy	0.6949	eV/atom

Geometry as CIF:
```
data_PSeBrO2
_cell_length_a 3.7521
_cell_length_b 3.7521
_cell_length_c 6.0534
_cell_angle_alpha 90.00
_cell_angle_beta 90.00
_cell_angle_gamma 90.00
_symmetry_space_group_name_H-M 'P 4/m m m'
_symmetry_Int_Tables_number 123
_symmetry_space_group_name_Hall '-P 4 2'
loop_
_atom_site_label
_atom_site_fract_x
_atom_site_fract_y
_atom_site_fract_z
P1 0.0000 0.0000 0.0000
Se1 0.5000 0.5000 0.0000
Br1 0.0000 0.0000 0.5000
O1 0.0000 0.5000 0.5000
```